[1]
# LiYRe2 (PBE, relaxed)
data_LiYRe2
_cell_length_a 2.6847
_cell_length_b 2.6847
_cell_length_c 9.4470
_cell_angle_alpha 90.00
_cell_angle_beta 90.00
_cell_angle_gamma 90.00
_symmetry_space_group_name_H-M 'P 4/m m m'
_symmetry_Int_Tables_number 123
_symmetry_space_group_name_Hall '-P 4 2'
loop_
_atom_site_label
_atom_site_type_symbol
_atom_site_fract_x
_atom_site_fract_y
_atom_site_fract_z
Li1 Li 0.0000 0.0000 0.0000
Y1 Y 0.0000 0.0000 0.5000
Re1 Re 0.5000 0.5000 0.2319
# distance to the lowest polymorph of the same formula = 0.456 eV per atom
# density of states at the Fermi level = 0.777 states/eV/atom
# DFT formation energy = 0.6348 eV per atom
# spin magnetization = 0.0 μB/cell

=====

[2]
# LiYRe (PBE, relaxed)
data_LiYRe
_cell_length_a 3.2594
_cell_length_b 4.8238
_cell_length_c 14.9928
_cell_angle_alpha 90.00
_cell_angle_beta 90.00
_cell_angle_gamma 90.00
_symmetry_space_group_name_H-M 'F m m 2'
_symmetry_Int_Tables_number 42
_symmetry_space_group_name_Hall 'F 2 -2'
loop_
_atom_site_label
_atom_site_type_symbol
_atom_site_fract_x
_atom_site_fract_y
_atom_site_fract_z
Li1 Li 0.0000 0.0000 0.0000
Y1 Y 0.0000 0.0000 0.2985
Re1 Re 0.0000 0.0000 0.6454
# distance to the lowest polymorph of the same formula = 0.146 eV per atom
# density of states at the Fermi level = 0.864 states/eV/atom
# DFT formation energy = 0.5412 eV per atom
# spin magnetization = 0.0 μB/cell

=====

[3]
# LiYRe2 (PBE, relaxed)
data_LiYRe2
_cell_length_a 3.7958
_cell_length_b 3.7958
_cell_length_c 9.5983
_cell_angle_alpha 90.00
_cell_angle_beta 90.00
_cell_angle_gamma 90.00
_symmetry_space_group_name_H-M 'I 4/m m m'
_symmetry_Int_Tables_number 139
_symmetry_space_group_name_Hall '-I 4 2'
loop_
_atom_site_label
_atom_site_type_symbol
_atom_site_fract_x
_atom_site_fract_y
_atom_site_fract_z
Li1 Li 0.0000 0.0000 0.0000
Y1 Y 0.0000 0.0000 0.5000
Re1 Re 0.0000 0.5000 0.2500
# distance to the lowest polymorph of the same formula = 0.193 eV per atom
# density of states at the Fermi level = 0.664 states/eV/atom
# DFT formation energy = 0.3713 eV per atom
# spin magnetization = 0.0 μB/cell

=====

[4]
# LiYRe (PBE, relaxed)
data_LiYRe
_cell_length_a 6.1821
_cell_length_b 6.1821
_cell_length_c 6.1821
_cell_angle_alpha 90.00
_cell_angle_beta 90.00
_cell_angle_gamma 90.00
_symmetry_space_group_name_H-M 'F -4 3 m'
_symmetry_Int_Tables_number 216
_symmetry_space_group_name_Hall 'F -4 2 3'
loop_
_atom_site_label
_atom_site_type_symbol
_atom_site_fract_x
_atom_site_fract_y
_atom_site_fract_z
Li1 Li 0.0000 0.0000 0.0000
Y1 Y 0.2500 0.2500 0.7500
Re1 Re 0.2500 0.2500 0.2500
# distance to the lowest polymorph of the same formula = 0.584 eV per atom
# density of states at the Fermi level = 1.227 states/eV/atom
# DFT formation energy = 0.9792 eV per atom
# spin magnetization = 2.4 μB/cell

=====

[5]
# LiYRe2 (PBE, relaxed)
data_LiYRe2
_cell_length_a 3.1530
_cell_length_b 4.4696
_cell_length_c 9.6288
_cell_angle_alpha 90.00
_cell_angle_beta 90.00
_cell_angle_gamma 90.00
_symmetry_space_group_name_H-M 'C m m m'
_symmetry_Int_Tables_number 65
_symmetry_space_group_name_Hall '-C 2 2'
loop_
_atom_site_label
_atom_site_type_symbol
_atom_site_fract_x
_atom_site_fract_y
_atom_site_fract_z
Li1 Li 0.0000 0.0000 0.0000
Y1 Y 0.0000 0.0000 0.5000
Re1 Re 0.0000 0.5000 0.2358
# distance to the lowest polymorph of the same formula = 0.391 eV per atom
# density of states at the Fermi level = 1.055 states/eV/atom
# DFT formation energy = 0.5697 eV per atom
# spin magnetization = 0.0 μB/cell

=====

[6]
# LiYRe (PBE, relaxed)
data_LiYRe
_cell_length_a 6.5938
_cell_length_b 6.5938
_cell_length_c 6.5938
_cell_angle_alpha 90.00
_cell_angle_beta 90.00
_cell_angle_gamma 90.00
_symmetry_space_group_name_H-M 'F -4 3 m'
_symmetry_Int_Tables_number 216
_symmetry_space_group_name_Hall 'F -4 2 3'
loop_
_atom_site_label
_atom_site_type_symbol
_atom_site_fract_x
_atom_site_fract_y
_atom_site_fract_z
Li1 Li 0.0000 0.0000 0.0000
Y1 Y 0.2500 0.2500 0.2500
Re1 Re 0.0000 0.0000 0.5000
# distance to the lowest polymorph of the same formula = 1.013 eV per atom
# density of states at the Fermi level = 1.635 states/eV/atom
# DFT formation energy = 1.4086 eV per atom
# spin magnetization = 6.3 μB/cell

=====

[7]
# LiYRe4 (PBE, relaxed)
data_LiYRe4
_cell_length_a 7.5244
_cell_length_b 7.5244
_cell_length_c 7.5244
_cell_angle_alpha 90.00
_cell_angle_beta 90.00
_cell_angle_gamma 90.00
_symmetry_space_group_name_H-M 'F -4 3 m'
_symmetry_Int_Tables_number 216
_symmetry_space_group_name_Hall 'F -4 2 3'
loop_
_atom_site_label
_atom_site_type_symbol
_atom_site_fract_x
_atom_site_fract_y
_atom_site_fract_z
Li1 Li 0.0000 0.0000 0.0000
Y1 Y 0.2500 0.2500 0.2500
Re1 Re 0.1257 0.1257 0.6257
# density of states at the Fermi level = 0.789 states/eV/atom
# DFT formation energy = 0.1280 eV per atom
# spin magnetization = 0.0 μB/cell

=====

[8]
# LiYRe2 (PBE, relaxed)
data_LiYRe2
_cell_length_a 3.1553
_cell_length_b 3.1553
_cell_length_c 7.1405
_cell_angle_alpha 90.00
_cell_angle_beta 90.00
_cell_angle_gamma 90.00
_symmetry_space_group_name_H-M 'P 4 m m'
_symmetry_Int_Tables_number 99
_symmetry_space_group_name_Hall 'P 4 -2'
loop_
_atom_site_label
_atom_site_type_symbol
_atom_site_fract_x
_atom_site_fract_y
_atom_site_fract_z
Li1 Li 0.0000 0.0000 0.0000
Y1 Y 0.5000 0.5000 0.6875
Re1 Re 0.0000 0.0000 0.3960
Re2 Re 0.5000 0.5000 0.2060
# distance to the lowest polymorph of the same formula = 0.000 eV per atom
# density of states at the Fermi level = 0.618 states/eV/atom
# DFT formation energy = 0.1783 eV per atom
# spin magnetization = 0.0 μB/cell

=====

[9]
# Li3YRe (PBE, relaxed)
data_Li3YRe
_cell_length_a 4.7137
_cell_length_b 4.7137
_cell_length_c 4.7137
_cell_angle_alpha 90.00
_cell_angle_beta 90.00
_cell_angle_gamma 90.00
_symmetry_space_group_name_H-M 'P m -3 m'
_symmetry_Int_Tables_number 221
_symmetry_space_group_name_Hall '-P 4 2 3'
loop_
_atom_site_label
_atom_site_type_symbol
_atom_site_fract_x
_atom_site_fract_y
_atom_site_fract_z
Li1 Li 0.0000 0.0000 0.5000
Y1 Y 0.5000 0.5000 0.5000
Re1 Re 0.0000 0.0000 0.0000
# distance to the lowest polymorph of the same formula = 0.000 eV per atom
# density of states at the Fermi level = 0.850 states/eV/atom
# DFT formation energy = 1.0365 eV per atom
# spin magnetization = 1.2 μB/cell

=====

[10]
# LiYRe2 (PBE, relaxed)
data_LiYRe2
_cell_length_a 3.1558
_cell_length_b 4.6721
_cell_length_c 9.8120
_cell_angle_alpha 90.00
_cell_angle_beta 90.00
_cell_angle_gamma 90.00
_symmetry_space_group_name_H-M 'C m m 2'
_symmetry_Int_Tables_number 35
_symmetry_space_group_name_Hall 'C 2 -2'
loop_
_atom_site_label
_atom_site_type_symbol
_atom_site_fract_x
_atom_site_fract_y
_atom_site_fract_z
Li1 Li 0.0000 0.0000 0.0000
Y1 Y 0.0000 0.5000 0.6932
Re1 Re 0.0000 0.0000 0.4384
Re2 Re 0.0000 0.5000 0.2284
# distance to the lowest polymorph of the same formula = 0.291 eV per atom
# density of states at the Fermi level = 0.745 states/eV/atom
# DFT formation energy = 0.4691 eV per atom
# spin magnetization = 0.0 μB/cell

=====

[11]
# LiYRe2 (PBE, relaxed)
data_LiYRe2
_cell_length_a 5.3909
_cell_length_b 9.7762
_cell_length_c 2.6283
_cell_angle_alpha 90.00
_cell_angle_beta 90.00
_cell_angle_gamma 90.00
_symmetry_space_group_name_H-M 'C m m m'
_symmetry_Int_Tables_number 65
_symmetry_space_group_name_Hall '-C 2 2'
loop_
_atom_site_label
_atom_site_type_symbol
_atom_site_fract_x
_atom_site_fract_y
_atom_site_fract_z
Li1 Li 0.0000 0.0000 0.0000
Y1 Y 0.0000 0.5000 0.0000
Re1 Re 0.2500 0.2500 0.5000
# distance to the lowest polymorph of the same formula = 0.346 eV per atom
# density of states at the Fermi level = 0.641 states/eV/atom
# DFT formation energy = 0.5247 eV per atom
# spin magnetization = 0.0 μB/cell

=====

[12]
# Li2YZrRe (PBE, relaxed)
data_Li2YZrRe
_cell_length_a 4.7984
_cell_length_b 4.7984
_cell_length_c 5.0354
_cell_angle_alpha 90.00
_cell_angle_beta 90.00
_cell_angle_gamma 90.00
_symmetry_space_group_name_H-M 'P 4/m m m'
_symmetry_Int_Tables_number 123
_symmetry_space_group_name_Hall '-P 4 2'
loop_
_atom_site_label
_atom_site_type_symbol
_atom_site_fract_x
_atom_site_fract_y
_atom_site_fract_z
Li1 Li 0.0000 0.5000 0.0000
Y1 Y 0.0000 0.0000 0.5000
Zr1 Zr 0.5000 0.5000 0.5000
Re1 Re 0.0000 0.0000 0.0000
# density of states at the Fermi level = 1.329 states/eV/atom
# DFT formation energy = 1.1649 eV per atom
# spin magnetization = 0.0 μB/cell

=====

[13]
# LiZn3Re (PBE, relaxed)
data_LiZn3Re
_cell_length_a 4.8766
_cell_length_b 4.8766
_cell_length_c 4.8766
_cell_angle_alpha 90.00
_cell_angle_beta 90.00
_cell_angle_gamma 90.00
_symmetry_space_group_name_H-M 'P m -3 m'
_symmetry_Int_Tables_number 221
_symmetry_space_group_name_Hall '-P 4 2 3'
loop_
_atom_site_label
_atom_site_type_symbol
_atom_site_fract_x
_atom_site_fract_y
_atom_site_fract_z
Li1 Li 0.0000 0.0000 0.0000
Zn1 Zn 0.0000 0.5000 0.5000
Re1 Re 0.5000 0.5000 0.5000
# distance to the lowest polymorph of the same formula = 0.000 eV per atom
# density of states at the Fermi level = 0.686 states/eV/atom
# DFT formation energy = 0.6805 eV per atom
# spin magnetization = 0.0 μB/cell

=====

[14]
# LiZnRe4 (PBE, relaxed)
data_LiZnRe4
_cell_length_a 7.3370
_cell_length_b 7.3370
_cell_length_c 7.3370
_cell_angle_alpha 90.00
_cell_angle_beta 90.00
_cell_angle_gamma 90.00
_symmetry_space_group_name_H-M 'F -4 3 m'
_symmetry_Int_Tables_number 216
_symmetry_space_group_name_Hall 'F -4 2 3'
loop_
_atom_site_label
_atom_site_type_symbol
_atom_site_fract_x
_atom_site_fract_y
_atom_site_fract_z
Li1 Li 0.0000 0.0000 0.0000
Zn1 Zn 0.2500 0.2500 0.2500
Re1 Re 0.1251 0.1251 0.6251
# density of states at the Fermi level = 0.703 states/eV/atom
# DFT formation energy = 0.5257 eV per atom
# spin magnetization = 0.0 μB/cell

=====

[15]
# Li4ZnRe (PBE, relaxed)
data_Li4ZnRe
_cell_length_a 6.8450
_cell_length_b 6.8450
_cell_length_c 6.8450
_cell_angle_alpha 90.00
_cell_angle_beta 90.00
_cell_angle_gamma 90.00
_symmetry_space_group_name_H-M 'F -4 3 m'
_symmetry_Int_Tables_number 216
_symmetry_space_group_name_Hall 'F -4 2 3'
loop_
_atom_site_label
_atom_site_type_symbol
_atom_site_fract_x
_atom_site_fract_y
_atom_site_fract_z
Li1 Li 0.1239 0.1239 0.1239
Zn1 Zn 0.0000 0.0000 0.5000
Re1 Re 0.2500 0.2500 0.7500
# density of states at the Fermi level = 0.682 states/eV/atom
# DFT formation energy = 0.4828 eV per atom
# spin magnetization = 3.8 μB/cell

=====

[16]
# LiZnRe (PBE, relaxed)
data_LiZnRe
_cell_length_a 5.9803
_cell_length_b 5.9803
_cell_length_c 5.9803
_cell_angle_alpha 90.00
_cell_angle_beta 90.00
_cell_angle_gamma 90.00
_symmetry_space_group_name_H-M 'F -4 3 m'
_symmetry_Int_Tables_number 216
_symmetry_space_group_name_Hall 'F -4 2 3'
loop_
_atom_site_label
_atom_site_type_symbol
_atom_site_fract_x
_atom_site_fract_y
_atom_site_fract_z
Li1 Li 0.0000 0.0000 0.0000
Zn1 Zn 0.0000 0.0000 0.5000
Re1 Re 0.2500 0.2500 0.2500
# distance to the lowest polymorph of the same formula = 1.133 eV per atom
# density of states at the Fermi level = 0.405 states/eV/atom
# DFT formation energy = 1.2715 eV per atom
# spin magnetization = 8.7 μB/cell

=====

[17]
# LiZnRe (PBE, relaxed)
data_LiZnRe
_cell_length_a 2.5884
_cell_length_b 2.5884
_cell_length_c 12.9593
_cell_angle_alpha 90.00
_cell_angle_beta 90.00
_cell_angle_gamma 90.00
_symmetry_space_group_name_H-M 'I 4 m m'
_symmetry_Int_Tables_number 107
_symmetry_space_group_name_Hall 'I 4 -2'
loop_
_atom_site_label
_atom_site_type_symbol
_atom_site_fract_x
_atom_site_fract_y
_atom_site_fract_z
Li1 Li 0.0000 0.0000 0.0000
Zn1 Zn 0.0000 0.0000 0.6656
Re1 Re 0.0000 0.0000 0.3315
# distance to the lowest polymorph of the same formula = 0.059 eV per atom
# density of states at the Fermi level = 0.515 states/eV/atom
# DFT formation energy = 0.1982 eV per atom
# spin magnetization = 0.0 μB/cell

=====

[18]
# LiZnRe (PBE, relaxed)
data_LiZnRe
_cell_length_a 5.8465
_cell_length_b 5.8465
_cell_length_c 5.8465
_cell_angle_alpha 90.00
_cell_angle_beta 90.00
_cell_angle_gamma 90.00
_symmetry_space_group_name_H-M 'F -4 3 m'
_symmetry_Int_Tables_number 216
_symmetry_space_group_name_Hall 'F -4 2 3'
loop_
_atom_site_label
_atom_site_type_symbol
_atom_site_fract_x
_atom_site_fract_y
_atom_site_fract_z
Li1 Li 0.0000 0.0000 0.0000
Zn1 Zn 0.2500 0.2500 0.2500
Re1 Re 0.0000 0.0000 0.5000
# distance to the lowest polymorph of the same formula = 0.914 eV per atom
# density of states at the Fermi level = 0.134 states/eV/atom
# DFT formation energy = 1.0531 eV per atom
# spin magnetization = 8.1 μB/cell

=====

[19]
# Li2Zn2Re (PBE, relaxed)
data_Li2Zn2Re
_cell_length_a 7.2206
_cell_length_b 7.2206
_cell_length_c 2.5633
_cell_angle_alpha 90.00
_cell_angle_beta 90.00
_cell_angle_gamma 90.00
_symmetry_space_group_name_H-M 'P 4/m b m'
_symmetry_Int_Tables_number 127
_symmetry_space_group_name_Hall '-P 4 2ab'
loop_
_atom_site_label
_atom_site_type_symbol
_atom_site_fract_x
_atom_site_fract_y
_atom_site_fract_z
Li1 Li 0.1668 0.3332 0.0000
Zn1 Zn 0.1325 0.6325 0.5000
Re1 Re 0.0000 0.0000 0.5000
# density of states at the Fermi level = 0.422 states/eV/atom
# DFT formation energy = 0.1927 eV per atom
# spin magnetization = 0.0 μB/cell

=====

[20]
# LiZnRe (PBE, relaxed)
data_LiZnRe
_cell_length_a 2.9774
_cell_length_b 4.3161
_cell_length_c 13.6001
_cell_angle_alpha 90.00
_cell_angle_beta 90.00
_cell_angle_gamma 90.00
_symmetry_space_group_name_H-M 'F m m 2'
_symmetry_Int_Tables_number 42
_symmetry_space_group_name_Hall 'F 2 -2'
loop_
_atom_site_label
_atom_site_type_symbol
_atom_site_fract_x
_atom_site_fract_y
_atom_site_fract_z
Li1 Li 0.0000 0.0000 0.0000
Zn1 Zn 0.0000 0.0000 0.3329
Re1 Re 0.0000 0.0000 0.6664
# distance to the lowest polymorph of the same formula = 0.010 eV per atom
# density of states at the Fermi level = 0.307 states/eV/atom
# DFT formation energy = 0.1484 eV per atom
# spin magnetization = 0.0 μB/cell